The following is a DFT calculation (GGA-PBE) of a relaxed Tb3PbSe6 crystal.

Output
DOS at the Fermi energy	17.728	states/eV per cell
calculated total energy	-5.295	eV/atom

Lattice parameters (Å, degrees): 11.7419 4.1938 12.0825 90.00 108.73 90.00
With the nearest neighbours (Å) after each atom.
Sites, in units of the cell vectors:
Tb 0.0604 0.2500 0.1644  6 Se 2.86-2.90
Tb 0.1765 0.7500 0.4955  7 Se 2.87-3.05
Tb 0.3435 0.2500 0.9161  6 Se 2.86-2.88
Tb 0.6565 0.7500 0.0839  6 Se 2.86-2.88
Tb 0.8235 0.2500 0.5045  7 Se 2.87-3.05
Tb 0.9396 0.7500 0.8356  6 Se 2.86-2.90
Pb 0.4677 0.2500 0.3168  6 Se 3.05-3.38
Pb 0.5323 0.7500 0.6832  6 Se 3.05-3.38
Se 0.0144 0.2500 0.3827  4 Tb 2.86-3.05
Se 0.1087 0.2500 0.9432  4 Tb 2.88-2.90
Se 0.2265 0.7500 0.2696  3 Tb 2.87-2.97
Se 0.2943 0.7500 0.7454  3 Tb 2.87-2.89, 1 Pb 3.12
Se 0.3690 0.2500 0.5270  2 Tb 3.02, 3 Pb 3.05-3.11
Se 0.4142 0.7500 0.0865  3 Tb 2.86-2.87
Se 0.5858 0.2500 0.9135  3 Tb 2.86-2.87
Se 0.6310 0.7500 0.4730  2 Tb 3.02, 3 Pb 3.05-3.11
Se 0.7057 0.2500 0.2546  3 Tb 2.87-2.89, 1 Pb 3.12
Se 0.7735 0.2500 0.7304  3 Tb 2.87-2.97
Se 0.8913 0.7500 0.0568  4 Tb 2.88-2.90
Se 0.9856 0.7500 0.6173  4 Tb 2.86-3.05